A geometry-optimized ErTmBiPb structure, computed with GGA-PBE.

Cell: 4.439 4.428 6.249 Å, 90.14 90.00 90.00°
Positions (direct):
1 Tm 0.500 0.391 0.092
2 Er 0.000 0.892 0.592
3 Bi 0.000 0.891 0.092
4 Pb 0.500 0.392 0.592

Calculated values
As for the electronic total energy: -4.686 eV per atom.